The following is a PBE calculation of a relaxed TbGd2Ho crystal, from the Alexandria database.

Cell and atoms, written as POSCAR:
```
TbGd2Ho
1.0
5.034 0.000 0.000
0.000 5.034 0.000
0.000 0.000 5.029
Tb Gd Ho
1 2 1
Direct
0.000 0.000 0.000
0.000 0.500 0.500
0.500 0.000 0.500
0.500 0.500 0.000
```

Summary:
**E_form**: 0.025 eV per atom
**Final energy**: -9.32 eV per atom
**Size of the total moment**: 14.51 μB/f.u.
**Energy above the lowest structure with this stoichiometry**: 1 meV/atom

The following is a PBE calculation of a relaxed RbPuTe2 crystal, from the Alexandria database.

Cell and atoms, written as POSCAR:
```
RbPuTe2
1.0
4.571 0.000 0.000
-2.286 3.959 0.000
0.000 0.000 8.711
Rb Pu Te
1 1 2
Direct
0.000 0.000 0.000
0.000 0.000 0.500
0.333 0.667 0.698
0.667 0.333 0.302
```

Summary:
**Final energy**: -6.48 eV per atom
**Energy relative to the elements, uncorrected**: -1084.0 meV/atom
**Size of the total moment**: 5.00 μB/f.u.